<w>
# PBE TcGe2Se2, relaxed
data_TcGe2Se2
_chemical_formula_sum 'Tc2 Ge4 Se4'
_space_group_name_H-M_alt 'P 1'
_space_group_IT_number 1
_cell_length_a 3.4818
_cell_length_b 3.4818
_cell_length_c 17.7489
_cell_angle_alpha 90.00
_cell_angle_beta 90.00
_cell_angle_gamma 90.00
loop_
_space_group_symop_operation_xyz
'x,y,z'
loop_
_atom_site_label
_atom_site_type_symbol
_atom_site_fract_x
_atom_site_fract_y
_atom_site_fract_z
Tc1 Tc 0.0000 0.0000 0.0000
Tc2 Tc 0.5000 0.5000 0.5000
Ge1 Ge 0.0000 0.0000 0.4259
Ge2 Ge 0.0000 0.0000 0.5741
Ge3 Ge 0.5000 0.5000 0.0741
Ge4 Ge 0.5000 0.5000 0.9259
Se1 Se 0.0000 0.5000 0.2500
Se2 Se 0.0000 0.5000 0.7500
Se3 Se 0.5000 0.0000 0.2500
Se4 Se 0.5000 0.0000 0.7500
# Symmetry: I4/mmm
# Crystal system: tetragonal

---

<x>
# PBE TcGe2Se2, relaxed
data_TcGe2Se2
_chemical_formula_sum 'Tc2 Ge4 Se4'
_space_group_name_H-M_alt 'P 1'
_space_group_IT_number 1
_cell_length_a 6.7601
_cell_length_b 6.7601
_cell_length_c 4.1575
_cell_angle_alpha 90.00
_cell_angle_beta 90.00
_cell_angle_gamma 90.00
loop_
_space_group_symop_operation_xyz
'x,y,z'
loop_
_atom_site_label
_atom_site_type_symbol
_atom_site_fract_x
_atom_site_fract_y
_atom_site_fract_z
Tc1 Tc 0.0000 0.0000 0.0000
Tc2 Tc 0.5000 0.5000 0.0000
Ge1 Ge 0.1406 0.3594 0.0000
Ge2 Ge 0.3594 0.8594 0.0000
Ge3 Ge 0.6406 0.1406 0.0000
Ge4 Ge 0.8594 0.6406 0.0000
Se1 Se 0.1983 0.6983 0.5000
Se2 Se 0.3017 0.1983 0.5000
Se3 Se 0.6983 0.8017 0.5000
Se4 Se 0.8017 0.3017 0.5000
# Symmetry: P4/mbm
# Crystal system: tetragonal

---

Relative to the most stable structure, the computed energies are <w> 99; <x> 0, all in meV/atom.